# La2ErGa3Pd4

A relaxed La2ErGa3Pd4 crystal (PBE, Alexandria via LeMat-Bulk).

- DOS(E_F): 7.32 states/eV per cell
- ΔH_f (0 K): -0.8277 eV per atom

Lattice parameters (Å, degrees): 4.338 4.338 11.286 90.00 90.00 90.00
Fractional positions:
La: 0.000 0.500 0.229
La: 0.500 0.000 0.771
Er: 0.000 0.000 0.500
Ga: 0.000 0.500 0.880
Ga: 0.500 0.000 0.120
Ga: 0.500 0.500 0.500
Pd: 0.000 0.000 0.000
Pd: 0.000 0.500 0.655
Pd: 0.500 0.000 0.345
Pd: 0.500 0.500 0.000